Co2I2F | Alexandria | PBE+U | relaxed; ρ = 6.3 Mg/m³; space group = I4/mmm; DOS at the Fermi energy = 1.8 states/eV/cell; offset from the most stable computed form = 0.0 kJ/mol of atoms
1.0
-3.515 4.171 -0.085
-3.994 -3.396 -1.507
-4.523 -0.193 2.550
Co F I
2 1 2
Cartesian
-8.021 0.388 0.635
-4.011 0.193 0.323
0.000 0.000 0.000
-5.896 2.183 0.835
-6.136 -1.601 0.124